1.
An optimized crystal structure of BaSr2GeCl8, computed with PBE-GGA.

POSCAR file:
```
BaSr2GeCl8
1.0
6.7482 -0.0121 -0.0043
0.0339 6.6551 -0.0077
0.0054 0.0099 8.9433
Ba Ge Cl Sr
1 1 8 2
Cartesian
0.0027 0.0050 4.4717 Ba
0.0000 0.0000 0.0000 Ge
4.6478 4.8880 -0.0085 Cl
4.3820 4.7702 4.4635 Cl
2.4055 1.8827 4.4678 Cl
2.1398 1.7650 8.9398 Cl
5.6466 1.4658 6.9508 Cl
1.1438 5.1924 6.9491 Cl
1.1410 5.1871 1.9806 Cl
5.6438 1.4605 1.9823 Cl
3.3924 3.3239 2.1247 Sr
3.3952 3.3291 6.8067 Sr
```

Calculated values
* size of the total moment: 0.0 μB per cell
* total DFT energy (no corrections): -0.1502 hartree per atom

---

2.
An optimized crystal structure of BaTl2GeCl6, computed with PBE-GGA.

POSCAR file:
```
BaTl2GeCl6
1.0
-0.2635 -7.5173 0.7375
2.4488 0.6530 7.5309
-10.3762 0.8850 3.2973
Ge Cl Tl Ba
2 12 4 2
Cartesian
1.2244 0.3265 3.7654 Ge
-5.3198 -3.3161 2.0174 Ge
-5.3277 -1.5840 9.9319 Cl
-2.8632 -4.3953 1.6337 Cl
-1.3079 -6.0616 5.4643 Cl
-2.9020 -1.6201 7.0442 Cl
-0.1605 -1.0941 1.9152 Cl
-4.0232 -4.9069 8.6010 Cl
-8.0304 -4.8852 9.6504 Cl
0.9581 -1.6810 5.5426 Cl
-5.2889 -4.3592 4.5215 Cl
-9.1490 -4.2983 6.0230 Cl
-4.1677 -1.0724 2.9647 Cl
-6.8830 0.0823 6.1013 Cl
-6.4689 -2.9172 7.1385 Tl
-7.9215 -6.6128 3.7393 Tl
-0.2694 0.6335 7.8263 Tl
-1.7220 -3.0621 4.4272 Tl
-0.1317 -3.7587 0.3687 Ba
-3.9637 0.7690 5.4141 Ba
```

Calculated values
* size of the total moment: 0.0 μB per cell
* total DFT energy (no corrections): -0.1328 hartree per atom

---

3.
An optimized crystal structure of Ba12H5Cl3, computed with PBE-GGA.

POSCAR file:
```
Ba12H5Cl3
1.0
15.6244 0.0000 0.0000
-5.2081 14.7309 0.0000
-5.2081 -7.3654 12.7573
H Ba Cl
20 48 12
Cartesian
-1.3020 0.9207 7.9733 H
-2.6041 -3.6827 6.3786 H
-1.3020 11.9688 1.5947 H
5.2081 7.3654 0.0000 H
1.3020 -3.6827 9.5680 H
6.5102 6.4447 4.7840 H
3.9061 2.7620 1.5947 H
7.8122 0.0000 0.0000 H
0.0000 0.0000 0.0000 H
-1.3020 3.6827 3.1893 H
-5.2081 3.6827 6.3786 H
-3.9061 8.2861 4.7840 H
-2.6041 7.3654 0.0000 H
3.9061 11.0481 3.1893 H
1.3020 4.6034 11.1626 H
2.6041 3.6827 6.3786 H
9.1143 -0.9207 7.9733 H
6.5102 3.6827 9.5680 H
5.2081 -3.6827 6.3786 H
6.5102 -4.6034 11.1626 H
-4.5721 6.6363 6.6552 Ba
9.7802 0.7291 6.1021 Ba
-1.2255 5.1241 11.2470 Ba
-1.3786 8.6196 5.1928 Ba
11.7949 3.4954 3.6825 Ba
-5.1767 5.7812 12.4808 Ba
3.9827 6.1113 5.1928 Ba
1.9680 5.3990 8.7982 Ba
7.0383 7.3378 2.4196 Ba
5.9821 2.0816 11.5236 Ba
2.6355 -2.6511 7.6124 Ba
3.3780 5.2562 1.1859 Ba
-0.7739 9.4747 1.1859 Ba
-6.5867 3.8700 9.0748 Ba
10.3848 1.5842 0.2765 Ba
3.2402 1.9664 3.9590 Ba
-5.9821 -0.0276 10.3377 Ba
8.4483 -1.2373 2.6961 Ba
5.1767 2.6511 7.6124 Ba
5.9821 -2.1092 11.5714 Ba
1.8302 -2.0816 11.5236 Ba
10.4477 -3.1301 7.8889 Ba
1.8301 2.1093 11.5714 Ba
7.1761 8.0946 6.6552 Ba
-3.2402 8.6027 10.0612 Ba
4.5720 -1.9664 3.9590 Ba
3.3780 9.4470 1.2337 Ba
0.0315 4.7143 5.1449 Ba
-2.6355 3.1301 7.8889 Ba
-2.6355 -5.7812 12.4808 Ba
6.5867 -1.2541 7.5645 Ba
7.8437 13.1466 0.2765 Ba
-1.8302 0.0276 10.3377 Ba
-3.8296 12.4896 1.5103 Ba
-1.9680 -0.7291 6.1021 Ba
0.6361 9.3319 8.7982 Ba
6.4337 2.2413 1.5103 Ba
2.5726 10.0165 5.1449 Ba
-1.2255 -3.8700 9.0748 Ba
1.2255 1.2541 7.5645 Ba
5.8442 6.1281 10.0612 Ba
7.8437 4.2353 4.8684 Ba
11.1902 7.3931 2.4196 Ba
-0.7739 5.2838 1.2337 Ba
-5.2396 10.4955 4.8684 Ba
9.0377 -5.1241 11.2470 Ba
6.4337 11.2354 3.6825 Ba
-0.6361 1.2373 2.6961 Ba
3.9061 8.2861 7.9733 Cl
-3.9061 2.7620 11.1626 Cl
9.1143 4.6034 1.5947 Cl
-6.5102 7.3654 9.5680 Cl
-1.3020 6.4447 7.9733 Cl
9.1143 10.1275 1.5947 Cl
1.3020 7.3654 3.1893 Cl
6.5102 0.9207 4.7840 Cl
1.3020 -0.9207 4.7840 Cl
-3.9061 -2.7620 11.1626 Cl
11.7183 0.0000 3.1893 Cl
3.9061 0.0000 9.5680 Cl
```

Calculated values
* size of the total moment: 1.6 μB per cell
* total DFT energy (no corrections): -0.1037 hartree per atom

---

4.
An optimized crystal structure of Ba2H2Cl, computed with PBE-GGA.

POSCAR file:
```
Ba2H2Cl
1.0
-4.9659 1.0421 -1.2028
-0.2235 -4.3588 -2.8537
-4.0139 -4.0597 1.7507
H Ba Cl
2 2 1
Cartesian
-3.0790 -2.4778 -0.7387 H
-6.1243 -4.8985 -1.5671 H
-5.7873 -2.3379 -0.7402 Ba
-3.4161 -5.0384 -1.5656 Ba
0.0000 0.0000 0.0000 Cl
```

Calculated values
* size of the total moment: 0.7 μB per cell
* offset from the most stable computed form: 53.5 meV/atom

---

5.
An optimized crystal structure of Ba2H3Cl, computed with PBE-GGA.

POSCAR file:
```
Ba2H3Cl
1.0
4.2533 0.0000 0.0000
-2.1267 8.2595 -2.2262
0.0000 0.6495 10.6726
H Ba Cl
9 6 3
Cartesian
0.0000 6.7839 6.7144 H
0.0000 1.0369 3.1499 H
2.1267 2.1251 1.7320 H
0.0000 3.8235 3.2739 H
2.1267 7.8721 5.2966 H
2.1267 0.3247 5.3363 H
0.0000 5.4118 -1.1234 H
2.1267 3.4972 9.5699 H
2.1267 5.0855 5.1725 H
0.0000 6.2561 4.1659 Ba
2.1267 5.6651 7.7777 Ba
0.0000 3.2438 0.6688 Ba
2.1267 2.6529 4.2806 Ba
0.0000 7.8200 0.1920 Ba
2.1267 1.0889 8.2544 Ba
0.0000 3.1388 6.8590 Cl
2.1267 5.7702 1.5875 Cl
0.0000 0.0000 0.0000 Cl
```

Calculated values
* size of the total moment: 0.0 μB per cell
* total DFT energy (no corrections): -0.1335 hartree per atom

---

6.
An optimized crystal structure of BaH2Cl2, computed with PBE-GGA.

POSCAR file:
```
BaH2Cl2
1.0
-3.6214 -2.3988 -2.1063
-2.2329 -3.5794 2.3833
-6.5355 2.2868 3.1002
Cl H Ba
2 2 1
Cartesian
-9.5450 -2.5927 2.7670 Cl
-2.8449 -1.0987 0.6103 Cl
-6.2093 -1.5857 1.4172 H
-6.1806 -2.1058 1.9600 H
0.0000 0.0000 0.0000 Ba
```

Calculated values
* size of the total moment: 0.0 μB per cell
* offset from the most stable computed form: 0.0 meV/atom

---

7.
An optimized crystal structure of Ba2HCl3, computed with PBE-GGA.

POSCAR file:
```
Ba2HCl3
1.0
6.8696 0.0000 -2.8520
-1.0519 5.9268 -2.5336
-0.4070 0.0567 8.7190
Ba H Cl
4 2 6
Cartesian
5.4491 3.6173 -2.2179 Ba
3.4329 5.3297 2.6250 Ba
-0.0384 2.3663 5.5513 Ba
1.9778 0.6538 0.7084 Ba
-0.2630 1.4817 -0.6334 H
-0.7889 4.4451 -1.9002 H
2.6459 4.4451 -3.3262 Cl
1.6605 4.0541 0.3769 Cl
6.4903 1.0907 -0.1431 Cl
-1.0795 4.8929 3.4765 Cl
3.1718 1.4817 -2.0594 Cl
3.7503 1.9294 2.9565 Cl
```

Calculated values
* size of the total moment: 0.0 μB per cell
* total DFT energy (no corrections): -0.1524 hartree per atom

---

8.
An optimized crystal structure of Ba3H5Cl, computed with PBE-GGA.

POSCAR file:
```
Ba3H5Cl
1.0
4.3218 0.0000 0.0000
-2.1609 7.2329 0.0000
0.0000 0.0000 12.1984
H Cl Ba
10 2 6
Cartesian
2.1609 0.6009 10.4873 H
2.1609 4.4545 5.2696 H
0.0000 6.6320 4.3882 H
0.0000 6.6320 1.7110 H
0.0000 2.7785 11.3687 H
0.0000 0.0000 6.0992 H
0.0000 0.0000 0.0000 H
0.0000 2.7785 6.9288 H
2.1609 4.4545 0.8296 H
2.1609 0.6009 7.8102 H
0.0000 2.1185 3.0496 Cl
2.1609 5.1144 9.1488 Cl
2.1609 1.7927 5.5200 Ba
2.1609 6.0255 3.0496 Ba
2.1609 1.7927 0.5792 Ba
0.0000 5.4402 11.6192 Ba
0.0000 1.2074 9.1488 Ba
0.0000 5.4402 6.6783 Ba
```

Calculated values
* size of the total moment: 0.0 μB per cell
* total DFT energy (no corrections): -0.1309 hartree per atom